Record 1
Density functional theory data (PBE) for LaIn2Tc after structural relaxation.

* electronic total energy: -5.15 eV/atom
* total magnetization: 0.00 μB per formula unit
* energy above the most stable polymorph in this dataset: 68.6 meV/atom
* formation energy: 0.040 eV/atom
* Fermi-level density of states: 1.007 states/eV/atom

Cell and atoms, written as CIF:
```
data_LaIn2Tc
_chemical_formula_sum 'La1 In2 Tc1'
_cell_length_a 6.103
_cell_length_b 6.103
_cell_length_c 6.103
_cell_angle_alpha 44.55
_cell_angle_beta 44.55
_cell_angle_gamma 44.55
_space_group_name_H-M_alt 'P 1'
_space_group_IT_number 1
loop_
_space_group_symop_operation_xyz
'x,y,z'
loop_
_atom_site_label
_atom_site_type_symbol
_atom_site_fract_x
_atom_site_fract_y
_atom_site_fract_z
Tc1 Tc 0.750 0.750 0.750
In1 In 0.466 0.466 0.466
In2 In 0.034 0.034 0.034
La1 La 0.250 0.250 0.250
```

---

Record 2
Density functional theory data (PBE) for La3InTc after structural relaxation.

* electronic total energy: -5.72 eV/atom
* total magnetization: 0.00 μB per formula unit
* energy above the most stable polymorph in this dataset: 26.9 meV/atom
* formation energy: -0.139 eV/atom
* Fermi-level density of states: 0.911 states/eV/atom

Cell and atoms, written as CIF:
```
data_La3InTc
_chemical_formula_sum 'La12 In4 Tc4'
_cell_length_a 9.549
_cell_length_b 6.521
_cell_length_c 9.615
_cell_angle_alpha 90.00
_cell_angle_beta 100.54
_cell_angle_gamma 90.00
_space_group_name_H-M_alt 'P 1'
_space_group_IT_number 1
loop_
_space_group_symop_operation_xyz
'x,y,z'
loop_
_atom_site_label
_atom_site_type_symbol
_atom_site_fract_x
_atom_site_fract_y
_atom_site_fract_z
La1 La 0.367 0.208 0.521
La2 La 0.745 0.764 0.130
La3 La 0.755 0.264 0.370
La4 La 0.245 0.736 0.630
La5 La 0.111 0.018 0.250
La6 La 0.867 0.292 0.021
La7 La 0.133 0.708 0.979
La8 La 0.611 0.482 0.750
La9 La 0.633 0.792 0.479
La10 La 0.255 0.236 0.870
La11 La 0.889 0.982 0.750
La12 La 0.389 0.518 0.250
Tc1 Tc 0.084 0.141 0.525
Tc2 Tc 0.584 0.359 0.025
Tc3 Tc 0.416 0.641 0.975
Tc4 Tc 0.916 0.859 0.475
In1 In 0.049 0.517 0.333
In2 In 0.549 0.983 0.833
In3 In 0.451 0.017 0.167
In4 In 0.951 0.483 0.667
```

---

Record 3
Density functional theory data (PBE) for LaInTc after structural relaxation.

* electronic total energy: -5.86 eV/atom
* total magnetization: 0.00 μB per formula unit
* energy above the most stable polymorph in this dataset: 341.9 meV/atom
* formation energy: 0.148 eV/atom
* Fermi-level density of states: 0.807 states/eV/atom

Cell and atoms, written as CIF:
```
data_LaInTc
_chemical_formula_sum 'La1 In1 Tc1'
_cell_length_a 4.701
_cell_length_b 4.701
_cell_length_c 3.939
_cell_angle_alpha 90.00
_cell_angle_beta 90.00
_cell_angle_gamma 120.00
_space_group_name_H-M_alt 'P 1'
_space_group_IT_number 1
loop_
_space_group_symop_operation_xyz
'x,y,z'
loop_
_atom_site_label
_atom_site_type_symbol
_atom_site_fract_x
_atom_site_fract_y
_atom_site_fract_z
In1 In 0.000 0.000 0.833
Tc1 Tc 0.333 0.667 0.833
La1 La 0.667 0.333 0.333
```

---

Record 4
Density functional theory data (PBE) for La4InTc after structural relaxation.

* electronic total energy: -4.83 eV/atom
* total magnetization: 1.69 μB per formula unit
* energy above the most stable polymorph in this dataset: 866.5 meV/atom
* formation energy: 0.642 eV/atom
* Fermi-level density of states: 1.517 states/eV/atom

Cell and atoms, written as CIF:
```
data_La4InTc
_chemical_formula_sum 'La4 In1 Tc1'
_cell_length_a 6.342
_cell_length_b 6.342
_cell_length_c 6.342
_cell_angle_alpha 60.00
_cell_angle_beta 60.00
_cell_angle_gamma 60.00
_space_group_name_H-M_alt 'P 1'
_space_group_IT_number 1
loop_
_space_group_symop_operation_xyz
'x,y,z'
loop_
_atom_site_label
_atom_site_type_symbol
_atom_site_fract_x
_atom_site_fract_y
_atom_site_fract_z
La1 La 0.376 0.872 0.376
La2 La 0.376 0.376 0.376
La3 La 0.376 0.376 0.872
La4 La 0.872 0.376 0.376
Tc1 Tc 0.750 0.750 0.750
In1 In 0.000 0.000 0.000
```